Entry 1:
## Th6RuC2S3 (PBE)

Data for a relaxed structure of Th6RuC2S3.

The structure belongs to space group C2/m (No. 12); the cell edges are 17.620, 3.901 and 8.199 Å and the angles 90.00°, 105.59° and 90.00°. Symmetry generates all atoms from Th at (0.013, 0.000, 0.249), Th at (0.167, 0.500, 0.114), Th at (0.176, 0.500, 0.564), Ru at (0.000, 0.500, 0.000), C at (0.169, 0.000, 0.336), S at (0.000, 0.500, 0.500) and S at (0.164, 0.000, 0.832).

Its uncorrected formation energy is -1.12 eV per atom.

Entry 2:
## Th4RuC2S (PBE)

Data for a relaxed structure of Th4RuC2S.

The structure belongs to space group P2/m (No. 10); the cell edges are 6.845, 3.802 and 6.937 Å and the angles 90.00°, 107.19° and 90.00°. Symmetry generates all atoms from Th at (0.227, 0.000, 0.225), Th at (0.258, 0.500, 0.785), Ru at (0.000, 0.000, 0.500), C at (0.000, 0.500, 0.000), C at (0.500, 0.000, 0.000) and S at (0.500, 0.500, 0.500).

Its uncorrected formation energy is -0.69 eV per atom.

Which value of uncorrected formation energy does entry 2 give? -0.69 eV per atom